# 1
This record from Alexandria describes DyPu2Se4 after structural relaxation. The functional is PBE-GGA.

```
data_DyPu2Se4
_chemical_formula_sum 'Dy4 Pu8 Se16'
_cell_length_a 8.2526
_cell_length_b 8.2702
_cell_length_c 11.5019
_cell_angle_alpha 90.00
_cell_angle_beta 90.00
_cell_angle_gamma 90.00
_symmetry_space_group_name_H-M 'I m m a'
_symmetry_Int_Tables_number 74
_symmetry_space_group_name_Hall '-I 2b 2'
loop_
_atom_site_label
_atom_site_fract_x
_atom_site_fract_y
_atom_site_fract_z
Dy1 0.2500 0.2500 0.2500
Pu1 0.0000 0.0000 0.0000
Pu2 0.2500 0.2500 0.7500
Se1 0.0000 0.0037 0.2548
Se2 0.2437 0.2500 0.0017
```

Output
Excess energy over the best structure of this formula in the dataset ... 0.000 kcal/mol of atoms
Raw total energy ... -8.358 eV/atom
Fermi-level density of states ... 2.7611 states/eV per atom

---

# 2
This record from Alexandria describes ThCdGaN after structural relaxation. The functional is PBE-GGA.

```
data_ThCdGaN
_chemical_formula_sum 'Th2 Cd2 Ga2 N2'
_cell_length_a 4.3239
_cell_length_b 4.3239
_cell_length_c 8.6628
_cell_angle_alpha 90.00
_cell_angle_beta 90.00
_cell_angle_gamma 90.00
_symmetry_space_group_name_H-M 'P 4/n m m'
_symmetry_Int_Tables_number 129
loop_
_symmetry_equiv_pos_as_xyz
'x,y,z'
'-x,-y,-z'
'-y+1/2,x,z'
'y+1/2,-x,-z'
'-x+1/2,-y+1/2,z'
'x+1/2,y+1/2,-z'
'y,-x+1/2,z'
'-y,x+1/2,-z'
'x+1/2,-y,-z'
'-x+1/2,y,z'
'-y,-x,-z'
'y,x,z'
'-x,y+1/2,-z'
'x,-y+1/2,z'
'y+1/2,x+1/2,-z'
'-y+1/2,-x+1/2,z'
loop_
_atom_site_label
_atom_site_fract_x
_atom_site_fract_y
_atom_site_fract_z
Th1 0.2500 0.2500 0.1201
Cd1 0.2500 0.7500 0.5000
Ga1 0.2500 0.2500 0.7018
N1 0.2500 0.7500 0.0000
```

Output
Raw total energy ... -5.735 eV/atom
Fermi-level density of states ... 0.4225 states/eV per atom

---

# 3
This record from Alexandria describes K2SrHgF6 after structural relaxation. The functional is PBE-GGA.

```
data_K2SrHgF6
_chemical_formula_sum 'K4 Sr2 Hg2 F12'
_cell_length_a 6.3514
_cell_length_b 6.5645
_cell_length_c 11.0150
_cell_angle_alpha 90.00
_cell_angle_beta 124.61
_cell_angle_gamma 90.00
_symmetry_space_group_name_H-M 'P 1 21/c 1'
_symmetry_Int_Tables_number 14
loop_
_symmetry_equiv_pos_as_xyz
'x,y,z'
'-x,-y,-z'
'-x,y+1/2,-z+1/2'
'x,-y+1/2,z+1/2'
loop_
_atom_site_label
_atom_site_fract_x
_atom_site_fract_y
_atom_site_fract_z
K1 0.2325 0.0521 0.2489
Sr1 0.5000 0.0000 0.0000
Hg1 0.0000 0.0000 0.5000
F1 0.1393 0.2070 0.9420
F2 0.2348 0.7019 0.9409
F3 0.3558 0.0493 0.7460
```

Output
Raw total energy ... -4.252 eV/atom
Fermi-level density of states ... 0.0000 states/eV per atom

---

# 4
This record from Alexandria describes KSc2Be after structural relaxation. The functional is PBE-GGA.

```
data_KSc2Be
_chemical_formula_sum 'K2 Sc4 Be2'
_cell_length_a 9.1629
_cell_length_b 3.3158
_cell_length_c 8.4827
_cell_angle_alpha 90.00
_cell_angle_beta 108.13
_cell_angle_gamma 90.00
_symmetry_space_group_name_H-M 'C 1 m 1'
_symmetry_Int_Tables_number 8
loop_
_symmetry_equiv_pos_as_xyz
'x,y,z'
'x,-y,z'
'x+1/2,y+1/2,z'
'x+1/2,-y+1/2,z'
loop_
_atom_site_label
_atom_site_fract_x
_atom_site_fract_y
_atom_site_fract_z
K1 0.0000 0.0000 0.0000
Sc1 0.1408 0.5000 0.6275
Sc2 0.3555 0.5000 0.3883
Be1 0.3586 0.0000 0.6224
```

Output
Raw total energy ... -3.812 eV/atom
ΔE_f ... 560 meV per atom
Fermi-level density of states ... 1.0608 states/eV per atom

---

# 5
This record from Alexandria describes DyTmPt2 after structural relaxation. The functional is PBE-GGA.

```
data_DyTmPt2
_chemical_formula_sum 'Dy3 Tm3 Pt6'
_cell_length_a 4.0384
_cell_length_b 4.0384
_cell_length_c 19.8493
_cell_angle_alpha 90.00
_cell_angle_beta 90.00
_cell_angle_gamma 120.00
_symmetry_space_group_name_H-M 'R -3 m'
_symmetry_Int_Tables_number 166
_symmetry_space_group_name_Hall '-R 3 2"'
loop_
_atom_site_label
_atom_site_fract_x
_atom_site_fract_y
_atom_site_fract_z
Dy1 0.0000 0.0000 0.0000
Tm1 0.0000 0.0000 0.5000
Pt1 0.0000 0.0000 0.2483
```

Output
Excess energy over the best structure of this formula in the dataset ... 3.601 kcal/mol of atoms
Raw total energy ... -6.435 eV/atom
ΔE_f ... -1146 meV per atom
Fermi-level density of states ... 0.5816 states/eV per atom

---

# 6
This record from Alexandria describes BaTiHg2 after structural relaxation. The functional is PBE-GGA.

```
data_BaTiHg2
_chemical_formula_sum 'Ba4 Ti4 Hg8'
_cell_length_a 5.5522
_cell_length_b 5.5522
_cell_length_c 18.6262
_cell_angle_alpha 90.00
_cell_angle_beta 90.00
_cell_angle_gamma 90.00
_symmetry_space_group_name_H-M 'I -4 2 d'
_symmetry_Int_Tables_number 122
_symmetry_space_group_name_Hall 'I -4 2bw'
loop_
_atom_site_label
_atom_site_fract_x
_atom_site_fract_y
_atom_site_fract_z
Ba1 0.0000 0.0000 0.0000
Ti1 0.0000 0.0000 0.5000
Hg1 0.1100 0.2500 0.6250
```

Output
Raw total energy ... -2.395 eV/atom
ΔE_f ... 211 meV per atom
Fermi-level density of states ... 0.6914 states/eV per atom

---

Repeat the sixth record exactly.
This record from Alexandria describes BaTiHg2 after structural relaxation. The functional is PBE-GGA.

```
data_BaTiHg2
_chemical_formula_sum 'Ba4 Ti4 Hg8'
_cell_length_a 5.5522
_cell_length_b 5.5522
_cell_length_c 18.6262
_cell_angle_alpha 90.00
_cell_angle_beta 90.00
_cell_angle_gamma 90.00
_symmetry_space_group_name_H-M 'I -4 2 d'
_symmetry_Int_Tables_number 122
_symmetry_space_group_name_Hall 'I -4 2bw'
loop_
_atom_site_label
_atom_site_fract_x
_atom_site_fract_y
_atom_site_fract_z
Ba1 0.0000 0.0000 0.0000
Ti1 0.0000 0.0000 0.5000
Hg1 0.1100 0.2500 0.6250
```

Output
Raw total energy ... -2.395 eV/atom
ΔE_f ... 211 meV per atom
Fermi-level density of states ... 0.6914 states/eV per atom

---

- Which formula does entry 3 have?
  K2SrHgF6

---

Copy entry 4 word for word.
This record from Alexandria describes KSc2Be after structural relaxation. The functional is PBE-GGA.

```
data_KSc2Be
_chemical_formula_sum 'K2 Sc4 Be2'
_cell_length_a 9.1629
_cell_length_b 3.3158
_cell_length_c 8.4827
_cell_angle_alpha 90.00
_cell_angle_beta 108.13
_cell_angle_gamma 90.00
_symmetry_space_group_name_H-M 'C 1 m 1'
_symmetry_Int_Tables_number 8
loop_
_symmetry_equiv_pos_as_xyz
'x,y,z'
'x,-y,z'
'x+1/2,y+1/2,z'
'x+1/2,-y+1/2,z'
loop_
_atom_site_label
_atom_site_fract_x
_atom_site_fract_y
_atom_site_fract_z
K1 0.0000 0.0000 0.0000
Sc1 0.1408 0.5000 0.6275
Sc2 0.3555 0.5000 0.3883
Be1 0.3586 0.0000 0.6224
```

Output
Raw total energy ... -3.812 eV/atom
ΔE_f ... 560 meV per atom
Fermi-level density of states ... 1.0608 states/eV per atom

---

- What is the formula in the third record?
  K2SrHgF6